Entry 1
# GGA-PBE CaPaRh, optimized geometry
data_CaPaRh
_chemical_formula_sum 'Ca4 Pa4 Rh4'
_cell_length_a 16.4677
_cell_length_b 3.4095
_cell_length_c 5.8098
_cell_angle_alpha 90.00
_cell_angle_beta 105.13
_cell_angle_gamma 90.00
_symmetry_space_group_name_H-M 'C 1 2/m 1'
_symmetry_Int_Tables_number 12
loop_
_symmetry_equiv_pos_as_xyz
'x,y,z'
'-x,-y,-z'
'-x,y,-z'
'x,-y,z'
'x+1/2,y+1/2,z'
'-x+1/2,-y+1/2,-z'
'-x+1/2,y+1/2,-z'
'x+1/2,-y+1/2,z'
loop_
_atom_site_label
_atom_site_type_symbol
_atom_site_fract_x
_atom_site_fract_y
_atom_site_fract_z
Ca1 Ca 0.0599 0.0000 0.2970
Pa1 Pa 0.2332 0.5000 0.7089
Rh1 Rh 0.1380 0.0000 0.8678
# - Density: 7.9 g cm⁻³


Entry 2
# GGA-PBE CaPaRh, optimized geometry
data_CaPaRh
_chemical_formula_sum 'Ca2 Pa2 Rh2'
_cell_length_a 3.4684
_cell_length_b 3.4684
_cell_length_c 12.7859
_cell_angle_alpha 90.00
_cell_angle_beta 90.00
_cell_angle_gamma 90.00
_symmetry_space_group_name_H-M 'I 4 m m'
_symmetry_Int_Tables_number 107
_symmetry_space_group_name_Hall 'I 4 -2'
loop_
_atom_site_label
_atom_site_type_symbol
_atom_site_fract_x
_atom_site_fract_y
_atom_site_fract_z
Ca1 Ca 0.0000 0.0000 0.0000
Pa1 Pa 0.0000 0.0000 0.2700
Rh1 Rh 0.0000 0.0000 0.6645
# - Density: 8.1 g cm⁻³


Quick one: least stable of them? entry 1


Entry 1
# GGA-PBE CaPaSe2, optimized geometry
data_CaPaSe2
_chemical_formula_sum 'Ca3 Pa3 Se6'
_cell_length_a 3.8962
_cell_length_b 3.8962
_cell_length_c 22.8860
_cell_angle_alpha 90.00
_cell_angle_beta 90.00
_cell_angle_gamma 120.00
_symmetry_space_group_name_H-M 'R 3 m'
_symmetry_Int_Tables_number 160
_symmetry_space_group_name_Hall 'R 3 -2"'
loop_
_atom_site_label
_atom_site_type_symbol
_atom_site_fract_x
_atom_site_fract_y
_atom_site_fract_z
Ca1 Ca 0.0000 0.0000 0.0000
Pa1 Pa 0.0000 0.0000 0.8282
Se1 Se 0.0000 0.0000 0.2463
Se2 Se 0.0000 0.0000 0.4129
# - Density: 7.1 g cm⁻³


Entry 2
# GGA-PBE CaPaSe2, optimized geometry
data_CaPaSe2
_chemical_formula_sum 'Ca3 Pa3 Se6'
_cell_length_a 3.9623
_cell_length_b 3.9623
_cell_length_c 21.9588
_cell_angle_alpha 90.00
_cell_angle_beta 90.00
_cell_angle_gamma 120.00
_symmetry_space_group_name_H-M 'R -3 m'
_symmetry_Int_Tables_number 166
_symmetry_space_group_name_Hall '-R 3 2"'
loop_
_atom_site_label
_atom_site_type_symbol
_atom_site_fract_x
_atom_site_fract_y
_atom_site_fract_z
Ca1 Ca 0.0000 0.0000 0.0000
Pa1 Pa 0.0000 0.0000 0.5000
Se1 Se 0.0000 0.0000 0.2515
# - Density: 7.2 g cm⁻³


Quick one: least stable of them? entry 1


Entry 1
# GGA-PBE CaSm2Pa, optimized geometry
data_CaSm2Pa
_chemical_formula_sum 'Ca1 Sm2 Pa1'
_cell_length_a 3.4852
_cell_length_b 3.4852
_cell_length_c 10.7157
_cell_angle_alpha 90.00
_cell_angle_beta 90.00
_cell_angle_gamma 90.00
_symmetry_space_group_name_H-M 'P 4/m m m'
_symmetry_Int_Tables_number 123
_symmetry_space_group_name_Hall '-P 4 2'
loop_
_atom_site_label
_atom_site_type_symbol
_atom_site_fract_x
_atom_site_fract_y
_atom_site_fract_z
Ca1 Ca 0.0000 0.0000 0.0000
Sm1 Sm 0.5000 0.5000 0.2805
Pa1 Pa 0.0000 0.0000 0.5000
# - Density: 7.3 g cm⁻³


Entry 2
# GGA-PBE CaSm2Pa, optimized geometry
data_CaSm2Pa
_chemical_formula_sum 'Ca3 Sm6 Pa3'
_cell_length_a 3.3755
_cell_length_b 3.3755
_cell_length_c 38.4744
_cell_angle_alpha 90.00
_cell_angle_beta 90.00
_cell_angle_gamma 120.00
_symmetry_space_group_name_H-M 'R -3 m'
_symmetry_Int_Tables_number 166
_symmetry_space_group_name_Hall '-R 3 2"'
loop_
_atom_site_label
_atom_site_type_symbol
_atom_site_fract_x
_atom_site_fract_y
_atom_site_fract_z
Ca1 Ca 0.0000 0.0000 0.0000
Sm1 Sm 0.0000 0.0000 0.4167
Pa1 Pa 0.0000 0.0000 0.5000
# - Density: 7.5 g cm⁻³


Quick one: least stable of them? entry 2


Entry 1
# GGA-PBE CaPaSn, optimized geometry
data_CaPaSn
_chemical_formula_sum 'Ca4 Pa4 Sn4'
_cell_length_a 3.8224
_cell_length_b 3.8224
_cell_length_c 25.3582
_cell_angle_alpha 90.00
_cell_angle_beta 90.00
_cell_angle_gamma 90.00
_symmetry_space_group_name_H-M 'I 4/m m m'
_symmetry_Int_Tables_number 139
_symmetry_space_group_name_Hall '-I 4 2'
loop_
_atom_site_label
_atom_site_type_symbol
_atom_site_fract_x
_atom_site_fract_y
_atom_site_fract_z
Ca1 Ca 0.0000 0.0000 0.0749
Pa1 Pa 0.0000 0.0000 0.2263
Sn1 Sn 0.0000 0.0000 0.3504
# - Density: 7.0 g cm⁻³


Entry 2
# GGA-PBE CaPaSn, optimized geometry
data_CaPaSn
_chemical_formula_sum 'Ca1 Pa1 Sn1'
_cell_length_a 5.3796
_cell_length_b 5.3796
_cell_length_c 3.3991
_cell_angle_alpha 90.00
_cell_angle_beta 90.00
_cell_angle_gamma 120.00
_symmetry_space_group_name_H-M 'P 3 m 1'
_symmetry_Int_Tables_number 156
loop_
_symmetry_equiv_pos_as_xyz
'x,y,z'
'-y,x-y,z'
'-x+y,-x,z'
'-y,-x,z'
'-x+y,y,z'
'x,x-y,z'
loop_
_atom_site_label
_atom_site_type_symbol
_atom_site_fract_x
_atom_site_fract_y
_atom_site_fract_z
Ca1 Ca 0.0000 0.0000 0.0000
Pa1 Pa 0.3333 0.6667 0.4420
Sn1 Sn 0.6667 0.3333 0.7272
# - Density: 7.6 g cm⁻³


Quick one: least stable of them? entry 2


Entry 1
# GGA-PBE CaPaTe2, optimized geometry
data_CaPaTe2
_chemical_formula_sum 'Ca3 Pa3 Te6'
_cell_length_a 4.1891
_cell_length_b 4.1891
_cell_length_c 30.3109
_cell_angle_alpha 90.00
_cell_angle_beta 90.00
_cell_angle_gamma 120.00
_symmetry_space_group_name_H-M 'R -3 m'
_symmetry_Int_Tables_number 166
_symmetry_space_group_name_Hall '-R 3 2"'
loop_
_atom_site_label
_atom_site_type_symbol
_atom_site_fract_x
_atom_site_fract_y
_atom_site_fract_z
Ca1 Ca 0.0000 0.0000 0.0000
Pa1 Pa 0.0000 0.0000 0.5000
Te1 Te 0.0000 0.0000 0.1027
# - Density: 5.7 g cm⁻³


Entry 2
# GGA-PBE CaPaTe2, optimized geometry
data_CaPaTe2
_chemical_formula_sum 'Ca1 Pa1 Te2'
_cell_length_a 3.8113
_cell_length_b 3.8113
_cell_length_c 7.6819
_cell_angle_alpha 90.00
_cell_angle_beta 90.00
_cell_angle_gamma 90.00
_symmetry_space_group_name_H-M 'P 4/m m m'
_symmetry_Int_Tables_number 123
_symmetry_space_group_name_Hall '-P 4 2'
loop_
_atom_site_label
_atom_site_type_symbol
_atom_site_fract_x
_atom_site_fract_y
_atom_site_fract_z
Ca1 Ca 0.0000 0.0000 0.0000
Pa1 Pa 0.0000 0.0000 0.5000
Te1 Te 0.5000 0.5000 0.2639
# - Density: 7.8 g cm⁻³


Quick one: least stable of them? entry 1


Entry 1
# GGA-PBE CaPaZn2, optimized geometry
data_CaPaZn2
_chemical_formula_sum 'Ca4 Pa4 Zn8'
_cell_length_a 7.1570
_cell_length_b 7.1570
_cell_length_c 7.1570
_cell_angle_alpha 90.00
_cell_angle_beta 90.00
_cell_angle_gamma 90.00
_symmetry_space_group_name_H-M 'F m -3 m'
_symmetry_Int_Tables_number 225
_symmetry_space_group_name_Hall '-F 4 2 3'
loop_
_atom_site_label
_atom_site_type_symbol
_atom_site_fract_x
_atom_site_fract_y
_atom_site_fract_z
Ca1 Ca 0.0000 0.0000 0.0000
Pa1 Pa 0.0000 0.0000 0.5000
Zn1 Zn 0.2500 0.2500 0.2500
# - Density: 7.3 g cm⁻³


Entry 2
# GGA-PBE CaPaZn2, optimized geometry
data_CaPaZn2
_chemical_formula_sum 'Ca1 Pa1 Zn2'
_cell_length_a 3.2849
_cell_length_b 3.2849
_cell_length_c 8.2797
_cell_angle_alpha 90.00
_cell_angle_beta 90.00
_cell_angle_gamma 90.00
_symmetry_space_group_name_H-M 'P 4/m m m'
_symmetry_Int_Tables_number 123
_symmetry_space_group_name_Hall '-P 4 2'
loop_
_atom_site_label
_atom_site_type_symbol
_atom_site_fract_x
_atom_site_fract_y
_atom_site_fract_z
Ca1 Ca 0.0000 0.0000 0.0000
Pa1 Pa 0.0000 0.0000 0.5000
Zn1 Zn 0.5000 0.5000 0.2530
# - Density: 7.5 g cm⁻³


Quick one: least stable of them? entry 1


Entry 1
# GGA-PBE Ca3Pb5, optimized geometry
data_Ca3Pb5
_chemical_formula_sum 'Ca6 Pb10'
_cell_length_a 9.3835
_cell_length_b 9.3835
_cell_length_c 6.6665
_cell_angle_alpha 90.00
_cell_angle_beta 90.00
_cell_angle_gamma 120.00
_symmetry_space_group_name_H-M 'P 63/m c m'
_symmetry_Int_Tables_number 193
_symmetry_space_group_name_Hall '-P 6c 2'
loop_
_atom_site_label
_atom_site_type_symbol
_atom_site_fract_x
_atom_site_fract_y
_atom_site_fract_z
Ca1 Ca 0.0000 0.4079 0.2500
Pb1 Pb 0.0000 0.2059 0.7500
Pb2 Pb 0.3333 0.6667 0.0000
# - Density: 7.6 g cm⁻³


Entry 2
# GGA-PBE Ca3Pb5, optimized geometry
data_Ca3Pb5
_chemical_formula_sum 'Ca6 Pb10'
_cell_length_a 9.4517
_cell_length_b 10.0608
_cell_length_c 5.0923
_cell_angle_alpha 90.00
_cell_angle_beta 90.00
_cell_angle_gamma 90.00
_symmetry_space_group_name_H-M 'C m m m'
_symmetry_Int_Tables_number 65
_symmetry_space_group_name_Hall '-C 2 2'
loop_
_atom_site_label
_atom_site_type_symbol
_atom_site_fract_x
_atom_site_fract_y
_atom_site_fract_z
Ca1 Ca 0.0000 0.0000 0.0000
Ca2 Ca 0.0000 0.2698 0.5000
Pb1 Pb 0.0000 0.5000 0.0000
Pb2 Pb 0.2371 0.0000 0.5000
Pb3 Pb 0.2500 0.2500 0.0000
# - Density: 7.9 g cm⁻³


Quick one: least stable of them? entry 1